La4Tb3Ce | Alexandria | PBE-GGA | relaxed; calculated formation energy = 0.2345 eV/atom; DOS at the Fermi energy = 13.1 states/eV/f.u.; space-group type = No. 12
1.0
3.424 0.000 -0.432
-0.100 6.176 -0.791
-0.120 0.151 12.833
Tb La Ce
3 4 1
Direct
0.141 0.735 0.282 Tb
0.000 0.500 0.000 Tb
0.859 0.265 0.718 Tb
0.280 0.766 0.560 La
0.100 0.219 0.201 La
0.900 0.781 0.799 La
0.720 0.234 0.440 La
0.500 0.000 0.000 Ce



La5Tb4Ce | Alexandria | PBE-GGA | relaxed; calculated formation energy = 0.0967 eV/atom; DOS at the Fermi energy = 17.6 states/eV/f.u.; space-group type = No. 12
1.0
3.462 0.000 -0.754
0.252 11.115 1.157
0.171 1.644 9.104
Tb La Ce
4 5 1
Direct
0.094 0.184 0.188 Tb
0.305 0.080 0.610 Tb
0.906 0.816 0.812 Tb
0.695 0.920 0.390 Tb
0.204 0.399 0.407 La
0.897 0.280 0.794 La
0.103 0.720 0.206 La
0.796 0.601 0.593 La
0.500 0.500 0.000 La
0.500 0.000 0.000 Ce



La3Tb12Ce | Alexandria | PBE-GGA | relaxed; calculated formation energy = 0.0362 eV/atom; DOS at the Fermi energy = 25.8 states/eV/f.u.; space-group type = No. 123
1.0
-0.539 4.775 -1.669
-2.173 1.297 4.412
18.250 4.716 7.600
Tb La Ce
12 3 1
Direct
0.500 0.500 0.000 Tb
0.000 0.500 0.121 Tb
0.000 0.500 0.374 Tb
0.000 0.500 0.626 Tb
0.500 0.500 0.500 Tb
0.500 0.000 0.121 Tb
0.000 0.500 0.879 Tb
0.500 0.000 0.374 Tb
0.500 0.000 0.626 Tb
0.500 0.000 0.879 Tb
0.500 0.500 0.752 Tb
0.500 0.500 0.248 Tb
0.000 0.000 0.500 La
0.000 0.000 0.752 La
0.000 0.000 0.248 La
0.000 0.000 0.000 Ce



La2Tb15Ce2 | Alexandria | PBE-GGA | relaxed; calculated formation energy = 0.2677 eV/atom; DOS at the Fermi energy = 38.2 states/eV/f.u.; space-group type = No. 166
1.0
-2.727 5.783 5.996
-8.405 -2.415 0.594
0.464 -5.038 7.157
Ce Tb La
2 15 2
Direct
0.925 0.925 0.925 Ce
0.075 0.075 0.075 Ce
0.500 0.000 0.000 Tb
0.361 0.361 0.851 Tb
0.301 0.699 0.000 Tb
0.361 0.851 0.361 Tb
0.000 0.699 0.301 Tb
0.699 0.301 0.000 Tb
0.000 0.301 0.699 Tb
0.639 0.639 0.149 Tb
0.000 0.000 0.500 Tb
0.000 0.500 0.000 Tb
0.639 0.149 0.639 Tb
0.149 0.639 0.639 Tb
0.699 0.000 0.301 Tb
0.851 0.361 0.361 Tb
0.301 0.000 0.699 Tb
0.330 0.330 0.330 La
0.670 0.670 0.670 La



La3Tb6Ce | Alexandria | PBE-GGA | relaxed; calculated formation energy = 0.2601 eV/atom; DOS at the Fermi energy = 22.8 states/eV/f.u.; space-group type = No. 146
1.0
8.786 0.000 4.662
3.156 8.199 4.662
2.257 1.550 6.356
La Tb Ce
3 6 1
Direct
0.667 0.667 0.999 La
0.137 0.137 0.589 La
0.417 0.417 0.749 La
0.396 0.716 0.824 Tb
0.217 0.905 0.302 Tb
0.716 0.063 0.824 Tb
0.577 0.217 0.302 Tb
0.905 0.577 0.302 Tb
0.063 0.396 0.824 Tb
0.905 0.905 0.285 Ce



La2TbCe | Alexandria | PBE-GGA | relaxed; calculated formation energy = 0.0602 eV/atom; DOS at the Fermi energy = 8.6 states/eV/f.u.; space-group type = No. 123
1.0
-0.100 -1.373 3.310
-1.331 -3.060 -1.310
9.506 -3.615 -1.212
La Ce Tb
2 1 1
Direct
0.000 0.000 0.263 La
0.000 0.000 0.737 La
0.500 0.500 0.500 Ce
0.500 0.500 0.000 Tb



What did the fifth record say?
La3Tb6Ce | Alexandria | PBE-GGA | relaxed; calculated formation energy = 0.2601 eV/atom; DOS at the Fermi energy = 22.8 states/eV/f.u.; space-group type = No. 146
1.0
8.786 0.000 4.662
3.156 8.199 4.662
2.257 1.550 6.356
La Tb Ce
3 6 1
Direct
0.667 0.667 0.999 La
0.137 0.137 0.589 La
0.417 0.417 0.749 La
0.396 0.716 0.824 Tb
0.217 0.905 0.302 Tb
0.716 0.063 0.824 Tb
0.577 0.217 0.302 Tb
0.905 0.577 0.302 Tb
0.063 0.396 0.824 Tb
0.905 0.905 0.285 Ce